# 1
9
Lattice="4.0119 0.0000 0.0000 0.0000 6.8018 3.9229 0.0000 -6.8018 3.9229" Properties=species:S:1:pos:R:3 comment="PBE DyHo2Cd3AgHg2, relaxed" rho_g_cm3=10.4 spacegroup=Amm2 dft_energy_ev_per_atom=-2.600 m_tot_mub_per_cell=0.01 pbc="T T T"
Dy 0.0000 0.0000 0.0000
Ho 0.0000 -2.7589 4.7745
Ho 0.0000 2.7589 4.7745
Cd 2.0060 -1.7399 2.1812
Cd 2.0060 1.7399 2.1812
Cd 2.0060 0.0000 5.1937
Ag 0.0000 0.0000 3.1896
Hg 2.0060 -4.5277 3.1829
Hg 2.0060 4.5277 3.1829

# 2
12
Lattice="8.0744 0.0000 0.0000 0.0000 4.3698 0.0000 -3.1218 0.0000 9.4474" Properties=species:S:1:pos:R:3 comment="PBE BaNiAgTe3, relaxed" rho_g_cm3=6.8 spacegroup=P2_1/m dft_energy_ev_per_atom=-3.837 m_tot_mub_per_cell=0.00 pbc="T T T"
Ba 0.9568 1.0924 2.6394
Ba 3.9958 3.2773 6.8081
Ni 0.0248 3.2773 8.0273
Ni 4.9279 1.0924 1.4201
Ag -1.2689 1.0924 5.6725
Ag 6.2216 3.2773 3.7749
Te -1.8390 1.0924 8.4806
Te 0.5750 3.2773 5.4038
Te 3.3938 3.2773 1.1246
Te 1.5588 1.0924 8.3228
Te 4.3777 1.0924 4.0436
Te 6.7916 3.2773 0.9668

- What is the formula in the first record?
  DyHo2Cd3AgHg2

- What is the formula in the first record?
  DyHo2Cd3AgHg2